VASP calculation (PBE) on NdGdH4 after structural relaxation.

```
6
Lattice="3.778 0.000 0.000 0.000 3.778 0.000 0.000 0.000 5.364" Properties=species:S:1:pos:R:3 pbc="T T T"
Nd 0.000 0.000 0.000
H 0.000 1.889 1.400
H 1.889 0.000 3.965
H 1.889 0.000 1.400
H 0.000 1.889 3.965
Gd 1.889 1.889 2.682
```

## Properties
* SG: P4/mmm (123)
* E_tot: -4.48 eV/atom